## a
A plane-wave DFT calculation with PBE-GGA was carried out for a relaxed structure of NaTa3Ga.

Results
Calculated volume   100.2 Å³ per cell
Spin magnetization   0.00 μB per cell
SG   Pm-3m

Cell lengths 4.6449, 4.6449, 4.6449 Å; angles 90.00, 90.00, 90.00 degrees
With the nearest neighbours (Å) after each atom.
Atoms (fractional coordinates):
Na1 0.0000 0.0000 0.0000  6 Ta 2.32
Ta1 0.0000 0.0000 0.5000  2 Na 2.32
Ta2 0.0000 0.5000 0.0000  2 Na 2.32
Ta3 0.5000 0.0000 0.0000  2 Na 2.32
Ga1 0.5000 0.5000 0.5000  12 Ta 3.28

## b
A plane-wave DFT calculation with PBE-GGA was carried out for a relaxed structure of NaTa3Ga.

Results
Calculated volume   113.4 Å³ per cell
Spin magnetization   0.00 μB per cell
SG   Pm-3m

Cell lengths 4.8403, 4.8403, 4.8403 Å; angles 90.00, 90.00, 90.00 degrees
With the nearest neighbours (Å) after each atom.
Atoms (fractional coordinates):
Na1 0.0000 0.0000 0.0000  12 Ta 3.42
Ta1 0.0000 0.5000 0.5000  2 Ga 2.42
Ta2 0.5000 0.0000 0.5000  2 Ga 2.42
Ta3 0.5000 0.5000 0.0000  2 Ga 2.42
Ga1 0.5000 0.5000 0.5000  6 Ta 2.42

Each structure's energy above the most stable one, in eV/atom: a 0.761; b 0.000.